This record from Alexandria via LeMat-Bulk describes a crystal of BeSiAg2O4 relaxed with PBEsol. The functional is meta-GGA SCAN.

Values from the calculation:
Space-group type   No. 29
E_form (uncorrected)   -1932 meV per atom
Magnetization   0.000 μB/atom

abc: 4.867 9.995 14.447
angles: 90.00 90.00 90.00
Atoms (fractional coordinates):
Be 0.965 0.995 0.494
Be 0.035 0.005 0.994
Be 0.035 0.495 0.494
Be 0.965 0.505 0.994
Be 0.513 0.759 0.750
Be 0.487 0.241 0.250
Be 0.487 0.259 0.750
Be 0.513 0.741 0.250
Si 0.463 0.507 0.876
Si 0.537 0.493 0.376
Si 0.537 0.007 0.876
Si 0.463 0.993 0.376
Si 0.012 0.743 0.620
Si 0.988 0.257 0.120
Si 0.988 0.243 0.620
Si 0.012 0.757 0.120
Ag 0.993 0.756 0.875
Ag 0.007 0.244 0.375
Ag 0.007 0.256 0.875
Ag 0.993 0.744 0.375
Ag 0.985 0.508 0.744
Ag 0.015 0.492 0.244
Ag 0.015 0.008 0.744
Ag 0.985 0.992 0.244
Ag 0.500 0.742 0.491
Ag 0.500 0.258 0.991
Ag 0.500 0.242 0.491
Ag 0.500 0.758 0.991
Ag 0.503 0.989 0.626
Ag 0.497 0.011 0.126
Ag 0.497 0.489 0.626
Ag 0.503 0.511 0.126
O 0.404 0.657 0.831
O 0.596 0.343 0.331
O 0.596 0.157 0.831
O 0.404 0.843 0.331
O 0.758 0.692 0.687
O 0.242 0.308 0.187
O 0.242 0.192 0.687
O 0.758 0.808 0.187
O 0.857 0.385 0.064
O 0.143 0.615 0.564
O 0.143 0.885 0.064
O 0.857 0.115 0.564
O 0.791 0.490 0.898
O 0.209 0.510 0.398
O 0.209 0.990 0.898
O 0.791 0.010 0.398
O 0.742 0.310 0.683
O 0.258 0.690 0.183
O 0.258 0.810 0.683
O 0.742 0.190 0.183
O 0.711 0.991 0.972
O 0.289 0.009 0.472
O 0.289 0.491 0.972
O 0.711 0.509 0.472
O 0.896 0.849 0.542
O 0.104 0.151 0.042
O 0.104 0.349 0.542
O 0.896 0.651 0.042
O 0.641 0.891 0.802
O 0.359 0.109 0.302
O 0.359 0.391 0.802
O 0.641 0.609 0.302